## 1
DFT (GGA-PBEsol) results for a geometry-optimized SrZrSc2 structure.

Structure (CIF):
```
data_SrZrSc2
_chemical_formula_sum 'Sr2 Zr2 Sc4'
_space_group_name_H-M_alt 'I m m 2'
_space_group_IT_number 44
_space_group_name_Hall 'I 2 -2'
_cell_length_a 3.4321
_cell_length_b 5.5713
_cell_length_c 11.2438
_cell_angle_alpha 90.00
_cell_angle_beta 90.00
_cell_angle_gamma 90.00
loop_
_atom_site_label
_atom_site_type_symbol
_atom_site_fract_x
_atom_site_fract_y
_atom_site_fract_z
Sr1 Sr 0.0000 0.0000 0.0000
Zr1 Zr 0.0000 0.5000 0.7724
Sc1 Sc 0.0000 0.0000 0.4961
Sc2 Sc 0.0000 0.5000 0.2297
```


## 2
DFT (GGA-PBEsol) results for a geometry-optimized SrZrSc2 structure.

Structure (CIF):
```
data_SrZrSc2
_chemical_formula_sum 'Sr2 Zr2 Sc4'
_space_group_name_H-M_alt 'I 4/m m m'
_space_group_IT_number 139
_space_group_name_Hall '-I 4 2'
_cell_length_a 4.8731
_cell_length_b 4.8731
_cell_length_c 8.8763
_cell_angle_alpha 90.00
_cell_angle_beta 90.00
_cell_angle_gamma 90.00
loop_
_atom_site_label
_atom_site_type_symbol
_atom_site_fract_x
_atom_site_fract_y
_atom_site_fract_z
Sr1 Sr 0.0000 0.0000 0.0000
Zr1 Zr 0.0000 0.0000 0.5000
Sc1 Sc 0.0000 0.5000 0.2500
```


Energy ordering: 2 at the bottom, the next structure 15 meV per atom above.